Record 1
Material: Sc2Pd5Au
Method: DFT, PBE
State: optimized geometry

Output
SG: No. 55
total moment: 0.00 μB per formula unit
D(E_F): 0.204 states/eV/atom
calculated density: 10.38 g cm⁻³
E_form: -0.866 eV/atom

The structure in CIF format:
```
data_Sc2Pd5Au
_symmetry_space_group_name_H-M 'P 1'
_symmetry_Int_Tables_number 1
_cell_length_a 4.0821
_cell_length_b 5.6664
_cell_length_c 11.3297
_cell_angle_alpha 90.00
_cell_angle_beta 90.00
_cell_angle_gamma 90.00
loop_
_symmetry_equiv_pos_as_xyz
'x,y,z'
loop_
_atom_site_label
_atom_site_fract_x
_atom_site_fract_y
_atom_site_fract_z
Pd1 0.5000 0.7570 0.6241
Au1 0.0000 0.5000 0.0000
Pd2 0.0000 0.5000 0.5000
Pd3 0.5000 0.2570 0.8759
Pd4 0.0000 0.0120 0.7503
Sc1 0.5000 0.2349 0.1299
Sc2 0.5000 0.7651 0.8701
Sc3 0.5000 0.7349 0.3701
Pd5 0.0000 0.5120 0.7497
Pd6 0.5000 0.7430 0.1241
Pd7 0.0000 0.0000 0.0000
Pd8 0.0000 0.9880 0.2497
Sc4 0.5000 0.2651 0.6299
Au2 0.0000 0.0000 0.5000
Pd9 0.5000 0.2430 0.3759
Pd10 0.0000 0.4880 0.2503
```

***

Record 2
Material: ScPd8Au5
Method: DFT, PBE
State: optimized geometry

Output
SG: No. 82
total moment: 0.00 μB per formula unit
D(E_F): 0.346 states/eV/atom
calculated density: 12.68 g cm⁻³
E_form: -0.118 eV/atom

The structure in CIF format:
```
data_ScPd8Au5
_symmetry_space_group_name_H-M 'P 1'
_symmetry_Int_Tables_number 1
_cell_length_a 6.8424
_cell_length_b 6.8424
_cell_length_c 6.8424
_cell_angle_alpha 110.34
_cell_angle_beta 107.76
_cell_angle_gamma 110.34
loop_
_symmetry_equiv_pos_as_xyz
'x,y,z'
loop_
_atom_site_label
_atom_site_fract_x
_atom_site_fract_y
_atom_site_fract_z
Pd1 0.6524 0.4021 0.9242
Pd2 0.0758 0.7282 0.4779
Au1 0.2916 0.0900 0.9707
Pd3 0.3525 0.2947 0.4375
Au2 0.8807 0.9100 0.2016
Sc1 0.2500 0.5000 0.7500
Pd4 0.1427 0.7053 0.0578
Pd5 0.9422 0.0850 0.6475
Au3 0.5000 0.0000 0.5000
Pd6 0.5625 0.9150 0.8573
Pd7 0.7497 0.2718 0.3476
Pd8 0.5221 0.5979 0.2503
Au4 0.0293 0.3209 0.1193
Au5 0.7984 0.6791 0.7084
```

***

Record 3
Material: Sc2PdAu
Method: DFT, PBE
State: optimized geometry

Output
SG: No. 166
total moment: 0.00 μB per formula unit
D(E_F): 0.812 states/eV/atom
calculated density: 8.03 g cm⁻³
E_form: -0.199 eV/atom

The structure in CIF format:
```
data_Sc2PdAu
_symmetry_space_group_name_H-M 'P 1'
_symmetry_Int_Tables_number 1
_cell_length_a 9.7496
_cell_length_b 9.7496
_cell_length_c 9.7496
_cell_angle_alpha 18.48
_cell_angle_beta 18.48
_cell_angle_gamma 18.48
loop_
_symmetry_equiv_pos_as_xyz
'x,y,z'
loop_
_atom_site_label
_atom_site_fract_x
_atom_site_fract_y
_atom_site_fract_z
Pd1 0.0000 0.0000 0.0000
Sc1 0.9131 0.9131 0.9131
Au1 0.5000 0.5000 0.5000
Sc2 0.0869 0.0869 0.0869
```

***

Record 4
Material: Sc4Pd12Au
Method: DFT, PBE
State: optimized geometry

Output
SG: No. 229
total moment: 0.00 μB per formula unit
D(E_F): 0.325 states/eV/atom
calculated density: 9.32 g cm⁻³
E_form: -0.602 eV/atom

The structure in CIF format:
```
data_Sc4Pd12Au
_symmetry_space_group_name_H-M 'P 1'
_symmetry_Int_Tables_number 1
_cell_length_a 7.2606
_cell_length_b 7.2606
_cell_length_c 7.2606
_cell_angle_alpha 109.47
_cell_angle_beta 109.47
_cell_angle_gamma 109.47
loop_
_symmetry_equiv_pos_as_xyz
'x,y,z'
loop_
_atom_site_label
_atom_site_fract_x
_atom_site_fract_y
_atom_site_fract_z
Pd1 0.0000 0.6978 0.6978
Pd2 0.5000 0.7500 0.2500
Sc1 0.0000 0.5000 0.0000
Pd3 0.7500 0.2500 0.5000
Pd4 0.6978 0.6978 0.0000
Sc2 0.0000 0.0000 0.5000
Pd5 0.7500 0.5000 0.2500
Pd6 0.6978 0.0000 0.6978
Pd7 0.3022 0.0000 0.3022
Pd8 0.3022 0.3022 0.0000
Sc3 0.5000 0.0000 0.0000
Pd9 0.2500 0.5000 0.7500
Sc4 0.5000 0.5000 0.5000
Au1 0.0000 0.0000 0.0000
Pd10 0.2500 0.7500 0.5000
Pd11 0.5000 0.2500 0.7500
Pd12 0.0000 0.3022 0.3022
```

***

Record 5
Material: Sc2Pd2Au
Method: DFT, PBE
State: optimized geometry

Output
SG: No. 139
total moment: 0.00 μB per formula unit
D(E_F): 0.370 states/eV/atom
excess energy over the best structure of this formula in the dataset: 22.94 kJ per mole of atoms
calculated density: 8.18 g cm⁻³
E_form: -0.588 eV/atom

The structure in CIF format:
```
data_Sc2Pd2Au
_symmetry_space_group_name_H-M 'P 1'
_symmetry_Int_Tables_number 1
_cell_length_a 5.0250
_cell_length_b 5.0250
_cell_length_c 5.3639
_cell_angle_alpha 62.07
_cell_angle_beta 62.07
_cell_angle_gamma 90.00
loop_
_symmetry_equiv_pos_as_xyz
'x,y,z'
loop_
_atom_site_label
_atom_site_fract_x
_atom_site_fract_y
_atom_site_fract_z
Sc1 0.7500 0.2500 0.5000
Sc2 0.2500 0.7500 0.5000
Pd1 0.3441 0.3441 0.3118
Pd2 0.6559 0.6559 0.6882
Au1 0.0000 0.0000 0.0000
```

***

Record 6
Material: ScPd2Au2
Method: DFT, PBE
State: optimized geometry

Output
SG: No. 194
total moment: 0.00 μB per formula unit
D(E_F): 0.545 states/eV/atom
excess energy over the best structure of this formula in the dataset: 22.22 kJ per mole of atoms
calculated density: 11.92 g cm⁻³
E_form: -0.389 eV/atom

The structure in CIF format:
```
data_ScPd2Au2
_symmetry_space_group_name_H-M 'P 1'
_symmetry_Int_Tables_number 1
_cell_length_a 4.4792
_cell_length_b 4.4792
_cell_length_c 10.4535
_cell_angle_alpha 90.00
_cell_angle_beta 90.00
_cell_angle_gamma 120.00
loop_
_symmetry_equiv_pos_as_xyz
'x,y,z'
loop_
_atom_site_label
_atom_site_fract_x
_atom_site_fract_y
_atom_site_fract_z
Au1 0.3333 0.6667 0.8930
Pd1 0.3333 0.6667 0.2500
Pd2 0.0000 0.0000 0.0000
Au2 0.6667 0.3333 0.1070
Au3 0.6667 0.3333 0.3930
Sc1 0.0000 0.0000 0.2500
Au4 0.3333 0.6667 0.6070
Pd3 0.6667 0.3333 0.7500
Sc2 0.0000 0.0000 0.7500
Pd4 0.0000 0.0000 0.5000
```

***

Record 7
Material: Sc2Pd2Au
Method: DFT, PBE
State: optimized geometry

Output
SG: No. 65
total moment: 0.00 μB per formula unit
D(E_F): 0.773 states/eV/atom
excess energy over the best structure of this formula in the dataset: 32.41 kJ per mole of atoms
calculated density: 8.01 g cm⁻³
E_form: -0.490 eV/atom

The structure in CIF format:
```
data_Sc2Pd2Au
_symmetry_space_group_name_H-M 'P 1'
_symmetry_Int_Tables_number 1
_cell_length_a 4.1077
_cell_length_b 4.1077
_cell_length_c 6.3895
_cell_angle_alpha 89.95
_cell_angle_beta 89.95
_cell_angle_gamma 106.08
loop_
_symmetry_equiv_pos_as_xyz
'x,y,z'
loop_
_atom_site_label
_atom_site_fract_x
_atom_site_fract_y
_atom_site_fract_z
Pd1 0.1914 0.8086 0.5000
Sc1 0.4993 0.4993 0.2493
Au1 0.0000 0.0000 0.0000
Sc2 0.5007 0.5007 0.7507
Pd2 0.8086 0.1914 0.5000
```

***

Record 8
Material: ScPd5Au4
Method: DFT, PBE
State: optimized geometry

Output
SG: No. 12
total moment: 0.00 μB per formula unit
D(E_F): 0.413 states/eV/atom
calculated density: 12.42 g cm⁻³
E_form: -0.143 eV/atom

The structure in CIF format:
```
data_ScPd5Au4
_symmetry_space_group_name_H-M 'P 1'
_symmetry_Int_Tables_number 1
_cell_length_a 4.2390
_cell_length_b 7.0329
_cell_length_c 7.3238
_cell_angle_alpha 117.80
_cell_angle_beta 106.82
_cell_angle_gamma 90.00
loop_
_symmetry_equiv_pos_as_xyz
'x,y,z'
loop_
_atom_site_label
_atom_site_fract_x
_atom_site_fract_y
_atom_site_fract_z
Au1 0.9777 0.7199 0.9554
Pd1 0.5000 0.5000 0.0000
Au2 0.3227 0.5700 0.6453
Pd2 0.1750 0.7296 0.3499
Pd3 0.1682 0.1150 0.3364
Au3 0.6773 0.4300 0.3547
Pd4 0.8318 0.8850 0.6636
Au4 0.0223 0.2801 0.0446
Sc1 0.5000 0.0000 0.0000
Pd5 0.8250 0.2704 0.6501
```

***

Record 9
Material: Sc4Pd7Au
Method: DFT, PBE
State: optimized geometry

Output
SG: No. 12
total moment: 0.00 μB per formula unit
D(E_F): 0.488 states/eV/atom
excess energy over the best structure of this formula in the dataset: 19.10 kJ per mole of atoms
calculated density: 8.21 g cm⁻³
E_form: -0.551 eV/atom

The structure in CIF format:
```
data_Sc4Pd7Au
_symmetry_space_group_name_H-M 'P 1'
_symmetry_Int_Tables_number 1
_cell_length_a 5.0383
_cell_length_b 9.0099
_cell_length_c 5.7899
_cell_angle_alpha 79.89
_cell_angle_beta 64.21
_cell_angle_gamma 73.76
loop_
_symmetry_equiv_pos_as_xyz
'x,y,z'
loop_
_atom_site_label
_atom_site_fract_x
_atom_site_fract_y
_atom_site_fract_z
Pd1 0.3672 0.5154 0.7502
Pd2 0.6328 0.4846 0.2498
Sc1 0.4082 0.7864 0.3971
Pd3 0.7893 0.9071 0.5143
Au1 0.0000 0.0000 0.0000
Sc2 0.5918 0.2136 0.6029
Pd4 0.9272 0.3183 0.8272
Sc3 0.7941 0.6360 0.7759
Sc4 0.2059 0.3640 0.2241
Pd5 0.5000 0.0000 0.0000
Pd6 0.2107 0.0929 0.4857
Pd7 0.0728 0.6817 0.1728
```

***

Record 10
Material: ScPdAu5
Method: DFT, PBE
State: optimized geometry

Output
SG: No. 15
total moment: 0.00 μB per formula unit
D(E_F): 0.336 states/eV/atom
calculated density: 14.42 g cm⁻³
E_form: -0.281 eV/atom

The structure in CIF format:
```
data_ScPdAu5
_symmetry_space_group_name_H-M 'P 1'
_symmetry_Int_Tables_number 1
_cell_length_a 4.8034
_cell_length_b 7.6004
_cell_length_c 7.8050
_cell_angle_alpha 85.45
_cell_angle_beta 75.45
_cell_angle_gamma 71.58
loop_
_symmetry_equiv_pos_as_xyz
'x,y,z'
loop_
_atom_site_label
_atom_site_fract_x
_atom_site_fract_y
_atom_site_fract_z
Au1 0.6247 0.3601 0.1498
Au2 0.4535 0.2925 0.5376
Au3 0.5465 0.7075 0.4624
Au4 0.7460 0.7075 0.0376
Pd1 0.4874 0.0252 0.2500
Au5 0.0151 0.3601 0.3502
Au6 0.3753 0.6399 0.8502
Sc1 0.0000 0.0000 0.5000
Au7 0.9849 0.6399 0.6498
Pd2 0.5126 0.9748 0.7500
Au8 0.1386 0.7228 0.2500
Au9 0.8614 0.2772 0.7500
Sc2 0.0000 0.0000 0.0000
Au10 0.2540 0.2925 0.9624
```

***

Record 11
Material: ScPdAu
Method: DFT, PBE
State: optimized geometry

Output
SG: No. 63
total moment: 0.00 μB per formula unit
D(E_F): 0.606 states/eV/atom
excess energy over the best structure of this formula in the dataset: 5.65 kJ per mole of atoms
calculated density: 10.62 g cm⁻³
E_form: -0.771 eV/atom

The structure in CIF format:
```
data_ScPdAu
_symmetry_space_group_name_H-M 'P 1'
_symmetry_Int_Tables_number 1
_cell_length_a 4.8515
_cell_length_b 4.8515
_cell_length_c 5.6047
_cell_angle_alpha 90.00
_cell_angle_beta 90.00
_cell_angle_gamma 124.32
loop_
_symmetry_equiv_pos_as_xyz
'x,y,z'
loop_
_atom_site_label
_atom_site_fract_x
_atom_site_fract_y
_atom_site_fract_z
Au1 0.6325 0.3675 0.7500
Pd1 0.0000 0.0000 0.5000
Au2 0.3675 0.6325 0.2500
Sc1 0.6879 0.3121 0.2500
Pd2 0.0000 0.0000 0.0000
Sc2 0.3121 0.6879 0.7500
```

***

Record 12
Material: ScPd2Au4
Method: DFT, PBE
State: optimized geometry

Output
SG: No. 122
total moment: 0.00 μB per formula unit
D(E_F): 0.639 states/eV/atom
calculated density: 13.18 g cm⁻³
E_form: -0.228 eV/atom

The structure in CIF format:
```
data_ScPd2Au4
_symmetry_space_group_name_H-M 'P 1'
_symmetry_Int_Tables_number 1
_cell_length_a 6.9954
_cell_length_b 6.9955
_cell_length_c 6.9950
_cell_angle_alpha 109.75
_cell_angle_beta 109.75
_cell_angle_gamma 108.91
loop_
_symmetry_equiv_pos_as_xyz
'x,y,z'
loop_
_atom_site_label
_atom_site_fract_x
_atom_site_fract_y
_atom_site_fract_z
Pd1 0.6250 0.5106 0.3851
Sc1 0.0000 0.9999 0.9999
Sc2 0.2499 0.7500 0.5000
Pd2 0.4894 0.8745 0.1144
Au1 0.7112 0.9645 0.5837
Au2 0.3808 0.1276 0.4163
Au3 0.5390 0.6226 0.7528
Au4 0.2138 0.4609 0.0836
Au5 0.8697 0.7863 0.2471
Au6 0.8725 0.2886 0.2532
Pd3 0.7602 0.3751 0.8856
Pd4 0.1255 0.2399 0.6149
Au7 0.0355 0.6192 0.7468
Au8 0.3774 0.1303 0.9165
```